1.
VASP calculation (GGA-PBE) on an optimized crystal structure of Pu2GePt.

As for the calculated total energy: -10.43 eV per atom. As for the crystal system: orthorhombic. For the size of the total moment, the calculation gives 10.3 μB per formula unit. The value obtained for the density of states at the Fermi level is 28.1 states/eV/cell.

Cell: 4.5890 6.2338 7.4887 Å, 126.88 90.00 90.00°
Sites, in units of the cell vectors:
Pu: 0.7500 0.1954 0.3656
Pu: 0.2500 0.8046 0.6344
Pu: 0.2500 0.8051 0.1702
Pu: 0.7500 0.1949 0.8298
Ge: 0.2500 0.2936 0.1466
Ge: 0.7500 0.7064 0.8534
Pt: 0.7500 0.6349 0.3173
Pt: 0.2500 0.3651 0.6827


2.
VASP calculation (GGA-PBE) on an optimized crystal structure of RbInRh3.

As for the calculated total energy: -4.13 eV per atom. As for the crystal system: cubic. For the size of the total moment, the calculation gives 1.6 μB per formula unit. The value obtained for the density of states at the Fermi level is 4.9 states/eV/cell.

Cell: 5.0629 5.0629 5.0629 Å, 90.00 90.00 90.00°
Sites, in units of the cell vectors:
Rh: 0.0000 0.5000 0.0000
Rh: 0.0000 0.0000 0.5000
Rh: 0.5000 0.0000 0.0000
Rb: 0.5000 0.5000 0.5000
In: 0.0000 0.0000 0.0000